# Sm5S5N | the Alexandria database | PBE | optimized geometry
# formation energy without anion corrections = -1.915 eV per atom
# V = 257.4 Å³/f.u.
# VASP energy = -6.69 eV/atom
data_Sm5S5N
_chemical_formula_sum 'Sm10 S10 N2'
_cell_length_a 12.4877
_cell_length_b 5.5750
_cell_length_c 7.8048
_cell_angle_alpha 90.00
_cell_angle_beta 108.63
_cell_angle_gamma 90.00
_symmetry_space_group_name_H-M 'C 1 2/m 1'
_symmetry_Int_Tables_number 12
loop_
_symmetry_equiv_pos_as_xyz
'x,y,z'
'-x,-y,-z'
'-x,y,-z'
'x,-y,z'
'x+1/2,y+1/2,z'
'-x+1/2,-y+1/2,-z'
'-x+1/2,y+1/2,-z'
'x+1/2,-y+1/2,z'
loop_
_atom_site_label
_atom_site_type_symbol
_atom_site_fract_x
_atom_site_fract_y
_atom_site_fract_z
_atom_site_occupancy
Sm1 Sm 0.0000 0.0000 0.0000 1
Sm2 Sm 0.1493 0.5000 0.8408 1
Sm3 Sm 0.1556 0.5000 0.3155 1
S1 S 0.0000 0.5000 0.5000 1
S2 S 0.1675 0.0000 0.8343 1
S3 S 0.1743 0.0000 0.3312 1
N1 N 0.0000 0.5000 0.0000 1